Density functional theory data (PBE) for crystalline SmHoGaRu at its relaxed geometry.

Output
calculated total energy	-5.858	eV per atom
polymorph energy (0 for the lowest one)	0.000	eV/atom
space group	Amm2
formation energy	-0.458	eV per atom

Cell lengths 4.282, 4.006, 10.752 Å; angles 90.00, 90.00, 90.00 degrees
Sites, in units of the cell vectors:
Sm 0.000 0.000 0.000
Sm 0.000 0.500 0.500
Ho 0.500 0.000 0.284
Ho 0.500 0.500 0.784
Ga 0.500 0.000 0.581
Ga 0.500 0.500 0.081
Ru 0.000 0.000 0.717
Ru 0.000 0.500 0.217